(1)
The following is a DFT calculation (PBE) of a relaxed Pu2GeAs crystal.

a b c (Å): 5.4321 5.4321 2.9379
angles (deg): 90.00 90.00 90.00
Space group P4/mmm (No. 123)
Inequivalent atoms, fractional coordinates:
Pu1 0.0000 0.5000 0.0000 (multiplicity 2)
Ge1 0.0000 0.0000 0.5000 (multiplicity 1)
As1 0.5000 0.5000 0.5000 (multiplicity 1)

=====

(2)
The following is a DFT calculation (PBE) of a relaxed Pu2GeAs crystal.

a b c (Å): 4.0557 4.0557 21.4192
angles (deg): 90.00 90.00 120.00
Space group R-3m (No. 166, hexagonal axes)
Inequivalent atoms, fractional coordinates:
Pu1 0.0000 0.0000 0.2471 (multiplicity 6)
Ge1 0.0000 0.0000 0.0000 (multiplicity 3)
As1 0.0000 0.0000 0.5000 (multiplicity 3)

=====

no.,formation enthalpy at 0 K (meV/atom)
1,-639
2,-568